Run P
This record from the Alexandria database describes a relaxed RuCS2N crystal. The functional is PBE.

Calculated values
Total magnetic moment   0.0 μB per formula unit
Density of states at the Fermi level   4.326 states/eV/f.u.
Theoretical density   3.91 g cm⁻³

a b c (Å): 4.728 4.728 3.634
angles (deg): 90.00 90.00 90.00
Space group P4/mmm (No. 123)
Inequivalent atoms, fractional coordinates:
1 Ru 0.000 0.000 0.000 (multiplicity 1)
2 C 0.500 0.500 0.500 (multiplicity 1)
3 S 0.000 0.500 0.000 (multiplicity 2)
4 N 0.000 0.000 0.500 (multiplicity 1)



Run Q
This record from the Alexandria database describes a relaxed RuCS2N crystal. The functional is PBE.

Calculated values
Total magnetic moment   0.5 μB per formula unit
Density of states at the Fermi level   4.484 states/eV/f.u.
Theoretical density   4.46 g cm⁻³

a b c (Å): 5.409 5.409 2.433
angles (deg): 90.00 90.00 90.00
Space group P4/mmm (No. 123)
Inequivalent atoms, fractional coordinates:
1 Ru 0.000 0.000 0.000 (multiplicity 1)
2 C 0.500 0.500 0.500 (multiplicity 1)
3 S 0.000 0.500 0.500 (multiplicity 2)
4 N 0.500 0.500 0.000 (multiplicity 1)



So which one wins? Going from most stable to least: run Q, run P.



Run P
This record from the Alexandria database describes a relaxed RuCSe2N crystal. The functional is PBE.

Calculated values
Total magnetic moment   0.0 μB per formula unit
Density of states at the Fermi level   4.820 states/eV/f.u.
Theoretical density   5.82 g cm⁻³

a b c (Å): 5.745 5.745 2.464
angles (deg): 90.00 90.00 90.00
Space group P4/mmm (No. 123)
Inequivalent atoms, fractional coordinates:
1 Ru 0.000 0.000 0.000 (multiplicity 1)
2 C 0.500 0.500 0.500 (multiplicity 1)
3 Se 0.000 0.500 0.500 (multiplicity 2)
4 N 0.500 0.500 0.000 (multiplicity 1)



Run Q
This record from the Alexandria database describes a relaxed RuCSe2N crystal. The functional is PBE.

Calculated values
Total magnetic moment   0.1 μB per formula unit
Density of states at the Fermi level   4.855 states/eV/f.u.
Theoretical density   5.25 g cm⁻³

a b c (Å): 4.985 4.985 3.625
angles (deg): 90.00 90.00 90.00
Space group P4/mmm (No. 123)
Inequivalent atoms, fractional coordinates:
1 Ru 0.000 0.000 0.000 (multiplicity 1)
2 C 0.500 0.500 0.500 (multiplicity 1)
3 Se 0.000 0.500 0.000 (multiplicity 2)
4 N 0.000 0.000 0.500 (multiplicity 1)



So which one wins? Going from most stable to least: run P, run Q.



Run P
This record from the Alexandria database describes a relaxed SbCSN2 crystal. The functional is PBE.

Calculated values
Total magnetic moment   1.6 μB per formula unit
Density of states at the Fermi level   5.107 states/eV/f.u.
Theoretical density   3.87 g cm⁻³

a b c (Å): 3.917 3.917 5.424
angles (deg): 90.00 90.00 90.00
Space group P4/mmm (No. 123)
Inequivalent atoms, fractional coordinates:
1 Sb 0.000 0.000 0.000 (multiplicity 1)
2 C 0.500 0.500 0.500 (multiplicity 1)
3 S 0.000 0.000 0.500 (multiplicity 1)
4 N 0.000 0.500 0.000 (multiplicity 2)



Run Q
This record from the Alexandria database describes a relaxed SbCSN2 crystal. The functional is PBE.

Calculated values
Total magnetic moment   0.0 μB per formula unit
Density of states at the Fermi level   1.660 states/eV/f.u.
Theoretical density   5.87 g cm⁻³

a b c (Å): 3.781 3.781 3.833
angles (deg): 90.00 90.00 90.00
Space group P4/mmm (No. 123)
Inequivalent atoms, fractional coordinates:
1 Sb 0.000 0.000 0.000 (multiplicity 1)
2 C 0.500 0.500 0.500 (multiplicity 1)
3 S 0.500 0.500 0.000 (multiplicity 1)
4 N 0.000 0.500 0.500 (multiplicity 2)



So which one wins? Going from most stable to least: run Q, run P.



Run P
This record from the Alexandria database describes a relaxed ScCS2N crystal. The functional is PBE.

Calculated values
Total magnetic moment   2.0 μB per formula unit
Density of states at the Fermi level   2.373 states/eV/f.u.
Theoretical density   2.16 g cm⁻³

a b c (Å): 4.995 4.995 4.172
angles (deg): 90.00 90.00 90.00
Space group P4/mmm (No. 123)
Inequivalent atoms, fractional coordinates:
1 Sc 0.000 0.000 0.000 (multiplicity 1)
2 C 0.500 0.500 0.500 (multiplicity 1)
3 S 0.000 0.500 0.000 (multiplicity 2)
4 N 0.000 0.000 0.500 (multiplicity 1)



Run Q
This record from the Alexandria database describes a relaxed ScCS2N crystal. The functional is PBE.

Calculated values
Total magnetic moment   0.0 μB per formula unit
Density of states at the Fermi level   1.786 states/eV/f.u.
Theoretical density   3.51 g cm⁻³

a b c (Å): 4.573 4.573 3.054
angles (deg): 90.00 90.00 90.00
Space group P4/mmm (No. 123)
Inequivalent atoms, fractional coordinates:
1 Sc 0.000 0.000 0.000 (multiplicity 1)
2 C 0.500 0.500 0.500 (multiplicity 1)
3 S 0.000 0.500 0.500 (multiplicity 2)
4 N 0.500 0.500 0.000 (multiplicity 1)



So which one wins? Going from most stable to least: run Q, run P.



Run P
This record from the Alexandria database describes a relaxed SrCSN2 crystal. The functional is PBE.

Calculated values
Total magnetic moment   1.9 μB per formula unit
Density of states at the Fermi level   3.882 states/eV/f.u.
Theoretical density   4.09 g cm⁻³

a b c (Å): 4.033 4.033 3.985
angles (deg): 90.00 90.00 90.00
Space group P4/mmm (No. 123)
Inequivalent atoms, fractional coordinates:
1 Sr 0.000 0.000 0.000 (multiplicity 1)
2 C 0.500 0.500 0.500 (multiplicity 1)
3 S 0.500 0.500 0.000 (multiplicity 1)
4 N 0.000 0.500 0.500 (multiplicity 2)



Run Q
This record from the Alexandria database describes a relaxed SrCSN2 crystal. The functional is PBE.

Calculated values
Total magnetic moment   5.8 μB per formula unit
Density of states at the Fermi level   4.691 states/eV/f.u.
Theoretical density   1.80 g cm⁻³

a b c (Å): 4.950 4.950 6.007
angles (deg): 90.00 90.00 90.00
Space group P4/mmm (No. 123)
Inequivalent atoms, fractional coordinates:
1 Sr 0.000 0.000 0.000 (multiplicity 1)
2 C 0.500 0.500 0.500 (multiplicity 1)
3 S 0.000 0.000 0.500 (multiplicity 1)
4 N 0.000 0.500 0.000 (multiplicity 2)



So which one wins? Going from most stable to least: run P, run Q.



Run P
This record from the Alexandria database describes a relaxed SrCS2N crystal. The functional is PBE.

Calculated values
Total magnetic moment   3.0 μB per formula unit
Density of states at the Fermi level   3.157 states/eV/f.u.
Theoretical density   1.77 g cm⁻³

a b c (Å): 5.805 5.805 4.959
angles (deg): 90.00 90.00 90.00
Space group P4/mmm (No. 123)
Inequivalent atoms, fractional coordinates:
1 Sr 0.000 0.000 0.000 (multiplicity 1)
2 C 0.500 0.500 0.500 (multiplicity 1)
3 S 0.000 0.500 0.000 (multiplicity 2)
4 N 0.000 0.000 0.500 (multiplicity 1)



Run Q
This record from the Alexandria database describes a relaxed SrCS2N crystal. The functional is PBE.

Calculated values
Total magnetic moment   1.9 μB per formula unit
Density of states at the Fermi level   2.052 states/eV/f.u.
Theoretical density   3.77 g cm⁻³

a b c (Å): 4.444 4.444 3.970
angles (deg): 90.00 90.00 90.00
Space group P4/mmm (No. 123)
Inequivalent atoms, fractional coordinates:
1 Sr 0.000 0.000 0.000 (multiplicity 1)
2 C 0.500 0.500 0.500 (multiplicity 1)
3 S 0.000 0.500 0.500 (multiplicity 2)
4 N 0.500 0.500 0.000 (multiplicity 1)



So which one wins? Going from most stable to least: run Q, run P.



Run P
This record from the Alexandria database describes a relaxed TaCS2N crystal. The functional is PBE.

Calculated values
Total magnetic moment   0.0 μB per formula unit
Density of states at the Fermi level   5.428 states/eV/f.u.
Theoretical density   4.90 g cm⁻³

a b c (Å): 4.869 4.869 3.871
angles (deg): 90.00 90.00 90.00
Space group P4/mmm (No. 123)
Inequivalent atoms, fractional coordinates:
1 Ta 0.000 0.000 0.000 (multiplicity 1)
2 C 0.500 0.500 0.500 (multiplicity 1)
3 S 0.000 0.500 0.000 (multiplicity 2)
4 N 0.000 0.000 0.500 (multiplicity 1)



Run Q
This record from the Alexandria database describes a relaxed TaCS2N crystal. The functional is PBE.

Calculated values
Total magnetic moment   0.0 μB per formula unit
Density of states at the Fermi level   1.966 states/eV/f.u.
Theoretical density   7.84 g cm⁻³

a b c (Å): 4.019 4.019 3.554
angles (deg): 90.00 90.00 90.00
Space group P4/mmm (No. 123)
Inequivalent atoms, fractional coordinates:
1 Ta 0.000 0.000 0.000 (multiplicity 1)
2 C 0.500 0.500 0.500 (multiplicity 1)
3 S 0.000 0.500 0.500 (multiplicity 2)
4 N 0.500 0.500 0.000 (multiplicity 1)



So which one wins? Going from most stable to least: run Q, run P.



Run P
This record from the Alexandria database describes a relaxed TcCS2N crystal. The functional is PBE.

Calculated values
Total magnetic moment   1.0 μB per formula unit
Density of states at the Fermi level   3.172 states/eV/f.u.
Theoretical density   3.79 g cm⁻³

a b c (Å): 4.720 4.720 3.696
angles (deg): 90.00 90.00 90.00
Space group P4/mmm (No. 123)
Inequivalent atoms, fractional coordinates:
1 Tc 0.000 0.000 0.000 (multiplicity 1)
2 C 0.500 0.500 0.500 (multiplicity 1)
3 S 0.000 0.500 0.000 (multiplicity 2)
4 N 0.000 0.000 0.500 (multiplicity 1)



Run Q
This record from the Alexandria database describes a relaxed TcCS2N crystal. The functional is PBE.

Calculated values
Total magnetic moment   1.0 μB per formula unit
Density of states at the Fermi level   3.500 states/eV/f.u.
Theoretical density   4.47 g cm⁻³

a b c (Å): 5.336 5.336 2.456
angles (deg): 90.00 90.00 90.00
Space group P4/mmm (No. 123)
Inequivalent atoms, fractional coordinates:
1 Tc 0.000 0.000 0.000 (multiplicity 1)
2 C 0.500 0.500 0.500 (multiplicity 1)
3 S 0.000 0.500 0.500 (multiplicity 2)
4 N 0.500 0.500 0.000 (multiplicity 1)



So which one wins? Going from most stable to least: run Q, run P.